This record from Alexandria via LeMat-Bulk describes an optimized crystal structure of Ni5SnB2O10. The functional is PBE with a Hubbard U.

Results
- Raw total energy: -434.0 eV for the cell shown
- Total magnetic moment: 0.556 μB/atom
- Crystal system: orthorhombic

Structure (CIF):
```
data_Ni5SnB2O10
_chemical_formula_sum 'Ni20 Sn4 B8 O40'
_cell_length_a 9.390
_cell_length_b 6.172
_cell_length_c 12.402
_cell_angle_alpha 90.00
_cell_angle_beta 90.00
_cell_angle_gamma 90.00
_symmetry_space_group_name_H-M 'P n m a'
_symmetry_Int_Tables_number 62
loop_
_symmetry_equiv_pos_as_xyz
'x,y,z'
'-x,-y,-z'
'-x+1/2,-y,z+1/2'
'x+1/2,y,-z+1/2'
'x+1/2,-y+1/2,-z+1/2'
'-x+1/2,y+1/2,z+1/2'
'-x,y+1/2,-z'
'x,-y+1/2,z'
loop_
_atom_site_label
_atom_site_fract_x
_atom_site_fract_y
_atom_site_fract_z
_atom_site_occupancy
Ni1 0.000 0.000 0.000 1
Ni2 0.003 0.005 0.282 1
Ni3 0.009 0.750 0.500 1
Ni4 0.240 0.250 0.114 1
Sn1 0.240 0.750 0.116 1
B1 0.222 0.250 0.864 1
B2 0.227 0.750 0.858 1
O1 0.104 0.000 0.143 1
O2 0.110 0.009 0.578 1
O3 0.125 0.250 0.359 1
O4 0.131 0.750 0.359 1
O5 0.146 0.250 0.766 1
O6 0.147 0.250 0.959 1
O7 0.150 0.750 0.956 1
O8 0.151 0.750 0.762 1
```